ICl2O, relaxed, DFT PBE; crystal system = cubic; ΔE to the lowest computed polymorph = 1176 meV/atom; raw formation energy = 1.097 eV/atom
1.0
0.000 3.376 3.376
3.376 0.000 3.376
3.376 3.376 0.000
I Cl O
1 2 1
Direct
0.500 0.500 0.500
0.250 0.250 0.250
0.750 0.750 0.750
0.000 0.000 0.000